This record from OQMD describes an optimized crystal structure of NbAl2B6. The functional is GGA-PBE.

Cell: 9.2529 10.8701 3.4094 Å, 90.00 90.00 90.00°
Atoms (fractional coordinates):
Al  0.3685  0.0930  0.0000
Al  0.9525  0.1271  0.0000
Al  0.4525  0.3729  0.0000
Al  0.8685  0.4070  0.0000
Al  0.1315  0.5930  0.0000
Al  0.5475  0.6271  0.0000
Al  0.0475  0.8729  0.0000
Al  0.6315  0.9070  0.0000
B  0.0861  0.0220  0.5000
B  0.5669  0.0556  0.5000
B  0.7750  0.0759  0.5000
B  0.1332  0.1704  0.5000
B  0.4874  0.2087  0.5000
B  0.3080  0.2429  0.5000
B  0.8080  0.2571  0.5000
B  0.9874  0.2913  0.5000
B  0.6332  0.3296  0.5000
B  0.2750  0.4241  0.5000
B  0.0669  0.4444  0.5000
B  0.5861  0.4780  0.5000
B  0.4139  0.5220  0.5000
B  0.9331  0.5556  0.5000
B  0.7250  0.5759  0.5000
B  0.3668  0.6704  0.5000
B  0.0126  0.7087  0.5000
B  0.1920  0.7429  0.5000
B  0.6920  0.7571  0.5000
B  0.5126  0.7913  0.5000
B  0.8668  0.8296  0.5000
B  0.2250  0.9241  0.5000
B  0.4331  0.9444  0.5000
B  0.9139  0.9780  0.5000
Nb  0.6582  0.1803  0.0000
Nb  0.1582  0.3197  0.0000
Nb  0.8418  0.6803  0.0000
Nb  0.3418  0.8197  0.0000

Calculated total energy, eV per cell: -231.72
Symmetry: Pbam